Here is a relaxed structure of Pm4SiPbSe2 from Alexandria via LeMat-Bulk. Energies are from GGA-PBE.

Results
Raw total energy, eV/atom: -5.61
Formation energy from raw total energies, eV per atom: -1.225
Space group: P2/m

abc: 7.4905 4.2683 7.5094
angles: 90.00 109.07 90.00
Last column: nearest neighbours and their distance in Å.
Sites, in units of the cell vectors:
Pm: 0.2442 0.0000 0.2369  2 Si 2.99, 3 Se 3.01-3.11, 1 Pb 3.10
Pm: 0.2551 0.5000 0.7644  3 Se 2.99-3.11, 1 Si 3.00, 2 Pb 3.11
Pm: 0.7449 0.5000 0.2356  3 Se 2.99-3.11, 1 Si 3.00, 2 Pb 3.11
Pm: 0.7558 0.0000 0.7631  2 Si 2.99, 3 Se 3.01-3.11, 1 Pb 3.10
Si: 0.0000 0.5000 0.0000  6 Pm 2.99-3.00
Pb: 0.0000 0.0000 0.5000  6 Pm 3.10-3.11
Se: 0.5000 0.0000 0.0000  6 Pm 2.99-3.01
Se: 0.5000 0.5000 0.5000  6 Pm 3.11


Here is a relaxed structure of GaFe3H from Alexandria via LeMat-Bulk. Energies are from GGA-PBE.

Results
Raw total energy, eV/atom: -6.29
Space group: C2/c

abc: 6.5636 6.5636 4.4716
angles: 90.81 90.81 102.05
Last column: nearest neighbours and their distance in Å.
Sites, in units of the cell vectors:
Ga: 0.0655 0.2077 0.0729  8 Fe 2.45-2.66, 2 Ga 2.67
Ga: 0.2077 0.0655 0.5729  8 Fe 2.45-2.66, 2 Ga 2.67
Ga: 0.7923 0.9345 0.4271  8 Fe 2.45-2.66, 2 Ga 2.67
Ga: 0.9345 0.7923 0.9271  8 Fe 2.45-2.66, 2 Ga 2.67
Fe: 0.0580 0.6786 0.4251  1 H 1.80
Fe: 0.1885 0.5665 0.9053  2 H 1.83
Fe: 0.3109 0.4483 0.4221  3 H 1.76-1.81
Fe: 0.3214 0.9420 0.0749  1 H 1.80
Fe: 0.4335 0.8115 0.5947  2 H 1.83
Fe: 0.4483 0.3109 0.9221  3 H 1.76-1.81
Fe: 0.5517 0.6891 0.0779  3 H 1.76-1.81
Fe: 0.5665 0.1885 0.4053  2 H 1.83
Fe: 0.6786 0.0580 0.9251  1 H 1.80
Fe: 0.6891 0.5517 0.5779  3 H 1.76-1.81
Fe: 0.8115 0.4335 0.0947  2 H 1.83
Fe: 0.9420 0.3214 0.5749  1 H 1.80
H: 0.3063 0.6937 0.2500  6 Fe 1.80-1.83
H: 0.4425 0.5575 0.7500  6 Fe 1.76-1.83
H: 0.5575 0.4425 0.2500  6 Fe 1.76-1.83
H: 0.6937 0.3063 0.7500  6 Fe 1.80-1.83


Here is a relaxed structure of PuMg2UN4 from Alexandria via LeMat-Bulk. Energies are from GGA-PBE.

Results
Raw total energy, eV/atom: -8.82
Formation energy from raw total energies, eV per atom: -1.057
Space group: P2/m

abc: 5.5983 3.4141 5.9148
angles: 90.00 110.61 90.00
Last column: nearest neighbours and their distance in Å.
Sites, in units of the cell vectors:
Pu: 0.0000 0.0000 0.0000  6 N 2.37-2.41
Mg: 0.5000 0.0000 0.5000  6 N 2.33-2.37
Mg: 0.5000 0.5000 0.0000  6 N 2.41-2.48
U: 0.0000 0.5000 0.5000  6 N 2.26-2.33
N: 0.2373 0.5000 0.2605  1 U 2.26, 2 Pu 2.37, 3 Mg 2.37-2.48
N: 0.2456 0.0000 0.7384  2 U 2.33, 3 Mg 2.33-2.41, 1 Pu 2.41
N: 0.7544 0.0000 0.2616  2 U 2.33, 3 Mg 2.33-2.41, 1 Pu 2.41
N: 0.7627 0.5000 0.7395  1 U 2.26, 2 Pu 2.37, 3 Mg 2.37-2.48


Here is a relaxed structure of Zr4Tc2Os from Alexandria via LeMat-Bulk. Energies are from GGA-PBE.

Results
Raw total energy, eV/atom: -9.69
Energy relative to the elements, eV per formula unit: -1.69
Space group: I4/mmm

abc: 6.4998 6.4998 6.5899
angles: 90.00 90.00 90.00
Last column: nearest neighbours and their distance in Å.
Sites, in units of the cell vectors:
Zr: 0.2500 0.2500 0.2500  4 Tc 2.83, 2 Os 2.83
Zr: 0.2500 0.2500 0.7500  4 Tc 2.83, 2 Os 2.83
Zr: 0.2500 0.7500 0.2500  4 Tc 2.83, 2 Os 2.83
Zr: 0.2500 0.7500 0.7500  4 Tc 2.83, 2 Os 2.83
Zr: 0.7500 0.2500 0.2500  4 Tc 2.83, 2 Os 2.83
Zr: 0.7500 0.2500 0.7500  4 Tc 2.83, 2 Os 2.83
Zr: 0.7500 0.7500 0.2500  2 Os 2.83, 4 Tc 2.83
Zr: 0.7500 0.7500 0.7500  4 Tc 2.83, 2 Os 2.83
Tc: 0.0000 0.5000 0.0000  8 Zr 2.83
Tc: 0.0000 0.5000 0.5000  8 Zr 2.83
Tc: 0.5000 0.0000 0.0000  8 Zr 2.83
Tc: 0.5000 0.0000 0.5000  8 Zr 2.83
Os: 0.0000 0.0000 0.0000  8 Zr 2.83
Os: 0.5000 0.5000 0.5000  8 Zr 2.83